# 1
The following is a PBE calculation of an optimized crystal structure of IrRhSe2, from the Alexandria database.

Output
For the magnetic moment, the calculation gives 0.00 μB/f.u. The uncorrected formation energy is 0.07 eV per atom. For the energy, the calculation gives -22.9 eV per cell. The value obtained for the density of states at the Fermi level is 4.76 states/eV/cell.

a b c (Å): 3.169 3.169 7.890
angles (deg): 90.00 90.00 90.00
Sites, in units of the cell vectors:
1 Ir 0.000 0.000 0.496
2 Se 0.500 0.500 0.350
3 Se 0.000 0.000 0.899
4 Rh 0.500 0.500 0.756



# 2
The following is a PBE calculation of an optimized crystal structure of Ir3RhSe, from the Alexandria database.

Output
For the magnetic moment, the calculation gives 2.21 μB/f.u. The uncorrected formation energy is 1.48 eV per atom. For the energy, the calculation gives -30.0 eV per cell. The value obtained for the density of states at the Fermi level is 5.47 states/eV/cell. For the offset from the most stable computed form, the calculation gives 0.000 eV/atom.

a b c (Å): 4.545 4.545 4.545
angles (deg): 90.00 90.00 90.00
Sites, in units of the cell vectors:
1 Rh 0.500 0.500 0.500
2 Se 0.000 0.000 0.000
3 Ir 0.500 0.000 0.000
4 Ir 0.000 0.000 0.500
5 Ir 0.000 0.500 0.000



# 3
The following is a PBE calculation of an optimized crystal structure of IrRh2Se, from the Alexandria database.

Output
For the magnetic moment, the calculation gives 0.00 μB/f.u. The uncorrected formation energy is 0.32 eV per atom. For the energy, the calculation gives -25.8 eV per cell. The value obtained for the density of states at the Fermi level is 5.47 states/eV/cell.

a b c (Å): 2.822 4.654 4.616
angles (deg): 90.00 90.00 90.00
Sites, in units of the cell vectors:
1 Ir 0.000 0.500 0.500
2 Rh 0.500 0.500 0.000
3 Rh 0.000 0.000 0.000
4 Se 0.500 0.000 0.500



# 4
The following is a PBE calculation of an optimized crystal structure of Ir3Rh2Se8, from the Alexandria database.

Output
For the magnetic moment, the calculation gives 0.00 μB/f.u. The uncorrected formation energy is -0.29 eV per atom. For the energy, the calculation gives -72.9 eV per cell. The value obtained for the density of states at the Fermi level is 6.37 states/eV/cell.

a b c (Å): 6.540 6.530 6.530
angles (deg): 70.05 85.52 85.52
Sites, in units of the cell vectors:
1 Se 0.117 0.630 0.630
2 Se 0.654 0.885 0.365
3 Se 0.346 0.635 0.115
4 Se 0.853 0.882 0.882
5 Se 0.346 0.115 0.635
6 Se 0.654 0.365 0.885
7 Se 0.147 0.118 0.118
8 Se 0.883 0.370 0.370
9 Ir 0.000 0.747 0.253
10 Ir 0.000 0.253 0.747
11 Ir 0.500 0.000 0.000
12 Rh 0.556 0.281 0.281
13 Rh 0.444 0.719 0.719



# 5
The following is a PBE calculation of an optimized crystal structure of IrRhSe2, from the Alexandria database.

Output
For the magnetic moment, the calculation gives 0.00 μB/f.u. The uncorrected formation energy is 0.06 eV per atom. For the energy, the calculation gives -45.8 eV per cell. The value obtained for the density of states at the Fermi level is 5.16 states/eV/cell.

a b c (Å): 5.636 5.636 6.744
angles (deg): 65.30 65.30 90.00
Sites, in units of the cell vectors:
1 Se 0.628 0.125 0.250
2 Se 0.875 0.878 0.750
3 Se 0.375 0.372 0.750
4 Se 0.122 0.625 0.250
5 Ir 0.000 0.000 0.000
6 Ir 0.750 0.250 0.500
7 Rh 0.250 0.750 0.500
8 Rh 0.500 0.500 0.000



# 6
The following is a PBE calculation of an optimized crystal structure of IrRhSe4, from the Alexandria database.

Output
For the magnetic moment, the calculation gives 0.00 μB/f.u. The uncorrected formation energy is 1.32 eV per atom. For the energy, the calculation gives -22.3 eV per cell. The value obtained for the density of states at the Fermi level is 8.85 states/eV/cell. For the offset from the most stable computed form, the calculation gives 1.435 eV/atom.

a b c (Å): 5.424 5.424 5.424
angles (deg): 60.00 60.00 60.00
Sites, in units of the cell vectors:
1 Se 0.375 0.375 0.375
2 Se 0.875 0.375 0.375
3 Se 0.375 0.875 0.375
4 Se 0.375 0.375 0.875
5 Rh 0.000 0.000 0.000
6 Ir 0.750 0.750 0.750